No. 1
{"formula": "Sr4CaOs", "functional": "SCAN", "state": "single point on PBEsol structure", "space_group": "F-43m", "formation_energy_ev_per_atom": 1.235, "cell": [[-6.486, 1.312, -0.643], [-4.079, -4.579, -2.569], [-4.417, -3.079, 3.900]], "species": ["Ca", "Os", "Sr", "Sr", "Sr", "Sr"], "frac_coords": [[0.750, 0.750, 0.750], [0.000, 0.000, 0.000], [0.373, 0.373, 0.373], [0.373, 0.373, 0.882], [0.882, 0.373, 0.373], [0.373, 0.882, 0.373]]}

---

No. 2
{"formula": "KTi12Se16", "functional": "SCAN", "state": "single point on PBEsol structure", "space_group": "P-1", "e_form_raw_ev_per_atom": -1.350, "cell": [[-5.006, 0.255, -4.897], [3.204, -8.496, -3.720], [-4.358, -0.121, 9.464]], "species": ["K", "Ti", "Ti", "Ti", "Ti", "Ti", "Ti", "Ti", "Ti", "Ti", "Ti", "Ti", "Ti", "Se", "Se", "Se", "Se", "Se", "Se", "Se", "Se", "Se", "Se", "Se", "Se", "Se", "Se", "Se", "Se"], "frac_coords": [[0.000, 0.000, 0.000], [0.559, 0.361, 0.870], [0.061, 0.361, 0.870], [0.372, 0.129, 0.491], [0.868, 0.130, 0.490], [0.443, 0.510, 0.640], [0.945, 0.509, 0.639], [0.939, 0.639, 0.130], [0.441, 0.639, 0.130], [0.132, 0.870, 0.510], [0.628, 0.871, 0.509], [0.055, 0.491, 0.361], [0.557, 0.490, 0.360], [0.976, 0.052, 0.700], [0.476, 0.052, 0.702], [0.800, 0.298, 0.350], [0.302, 0.300, 0.352], [0.100, 0.648, 0.948], [0.599, 0.650, 0.948], [0.524, 0.948, 0.298], [0.024, 0.948, 0.300], [0.698, 0.700, 0.648], [0.200, 0.702, 0.650], [0.401, 0.350, 0.052], [0.900, 0.352, 0.052], [0.792, 0.667, 0.334], [0.292, 0.666, 0.333], [0.708, 0.334, 0.667], [0.208, 0.333, 0.666]]}

---

No. 3
{"formula": "K3Au", "functional": "SCAN", "state": "single point on PBEsol structure", "space_group": "P2/m", "formation_energy_ev_per_atom": -0.182, "cell": [[-2.590, 2.223, 3.139], [-0.227, -5.465, 3.683], [5.859, 4.739, 1.477]], "species": ["K", "K", "K", "Au"], "frac_coords": [[0.500, 0.160, 0.318], [0.000, 0.500, 0.000], [0.500, 0.840, 0.682], [0.000, 0.000, 0.000]]}

---

No. 4
{"formula": "SbIr", "functional": "SCAN", "state": "single point on PBEsol structure", "space_group": "P-3m1", "e_form_raw_ev_per_atom": 0.128, "cell": [[3.735, 0.000, 0.000], [-1.867, 3.234, 0.000], [0.000, 0.000, 7.450]], "species": ["Ir", "Ir", "Sb", "Sb"], "frac_coords": [[0.333, 0.667, 0.097], [0.667, 0.333, 0.903], [0.333, 0.667, 0.700], [0.667, 0.333, 0.300]]}

---

No. 5
{"formula": "V6O11F", "functional": "SCAN", "state": "single point on PBEsol structure", "space_group": "P1", "de_polymorph_mev_per_atom": 4, "e_form_raw_ev_per_atom": -2.706, "cell": [[-2.653, -0.374, -3.673], [3.957, -2.399, -2.719], [-1.732, -6.825, 1.843]], "species": ["V", "V", "V", "V", "V", "V", "O", "O", "O", "O", "O", "O", "O", "O", "O", "O", "O", "F"], "frac_coords": [[0.521, 0.838, 0.674], [0.491, 0.497, 0.996], [0.502, 0.174, 0.335], [0.989, 0.310, 0.672], [0.981, 0.672, 0.313], [0.012, 0.008, 0.007], [0.810, 0.372, 0.435], [0.794, 0.700, 0.098], [0.798, 0.031, 0.767], [0.703, 0.202, 0.100], [0.701, 0.530, 0.764], [0.701, 0.864, 0.436], [0.301, 0.130, 0.568], [0.297, 0.468, 0.236], [0.297, 0.803, 0.898], [0.203, 0.966, 0.237], [0.200, 0.303, 0.899], [0.200, 0.632, 0.566]]}

---

No. 6
{"formula": "Mg2B2Pd", "functional": "SCAN", "state": "single point on PBEsol structure", "space_group": "P4/mbm", "formation_energy_ev_per_atom": -0.208, "cell": [[-2.613, -2.481, 0.471], [3.513, -3.063, 3.349], [-1.889, 2.864, 4.601]], "species": ["Mg", "Mg", "Mg", "Mg", "B", "B", "B", "B", "Pd", "Pd"], "frac_coords": [[0.500, 0.183, 0.683], [0.500, 0.683, 0.817], [0.500, 0.817, 0.317], [0.500, 0.317, 0.183], [0.000, 0.399, 0.899], [0.000, 0.899, 0.601], [0.000, 0.601, 0.101], [0.000, 0.101, 0.399], [0.000, 0.000, 0.000], [0.000, 0.500, 0.500]]}

---

No. 7
{"formula": "Ta3AsPd", "functional": "SCAN", "state": "single point on PBEsol structure", "space_group": "Pm-3m", "formation_energy_ev_per_atom": 0.985, "de_polymorph_mev_per_atom": 0, "cell": [[-2.214, 2.615, -3.128], [-1.088, -3.809, -2.415], [-3.929, -0.418, 2.431]], "species": ["As", "Pd", "Ta", "Ta", "Ta"], "frac_coords": [[0.000, 0.000, 0.000], [0.500, 0.500, 0.500], [0.000, 0.500, 0.000], [0.000, 0.000, 0.500], [0.500, 0.000, 0.000]]}

---

No. 8
{"formula": "TeIr2Se", "functional": "SCAN", "state": "single point on PBEsol structure", "space_group": "P4/mmm", "e_form_raw_ev_per_atom": 0.679, "cell": [[3.536, 0.000, 0.000], [0.000, 4.375, 0.000], [0.000, 0.000, 4.375]], "species": ["Ir", "Ir", "Se", "Te"], "frac_coords": [[0.000, 0.000, 0.500], [0.000, 0.500, 0.000], [0.500, 0.500, 0.500], [0.500, 0.000, 0.000]]}

---

No. 9
{"formula": "RhSe2Br", "functional": "SCAN", "state": "single point on PBEsol structure", "space_group": "I4/mmm", "de_polymorph_mev_per_atom": 728, "e_form_raw_ev_per_atom": 0.352, "cell": [[4.616, 0.048, 0.000], [-1.488, 4.370, 0.000], [-1.564, -2.209, 3.740]], "species": ["Br", "Rh", "Se", "Se"], "frac_coords": [[0.500, 0.500, 0.000], [0.000, 0.000, 0.000], [0.500, 0.000, 0.500], [0.000, 0.500, 0.500]]}

---

No. 10
{"formula": "Y2Ga9Co3", "functional": "SCAN", "state": "single point on PBEsol structure", "space_group": "Cmcm", "formation_energy_ev_per_atom": -0.517, "cell": [[7.245, 0.006, 0.000], [-3.597, 6.289, 0.000], [0.000, 0.000, 9.280]], "species": ["Y", "Y", "Y", "Y", "Ga", "Ga", "Ga", "Ga", "Ga", "Ga", "Ga", "Ga", "Ga", "Ga", "Ga", "Ga", "Ga", "Ga", "Ga", "Ga", "Ga", "Ga", "Co", "Co", "Co", "Co", "Co", "Co"], "frac_coords": [[0.997, 0.669, 0.250], [0.003, 0.331, 0.750], [0.669, 0.997, 0.250], [0.331, 0.003, 0.750], [0.666, 0.999, 0.928], [0.999, 0.666, 0.572], [0.666, 0.999, 0.572], [0.334, 0.001, 0.072], [0.999, 0.666, 0.928], [0.001, 0.334, 0.072], [0.666, 0.666, 0.443], [0.334, 0.334, 0.943], [0.666, 0.666, 0.057], [0.334, 0.334, 0.557], [0.122, 0.122, 0.250], [0.878, 0.878, 0.750], [0.450, 0.663, 0.750], [0.550, 0.337, 0.250], [0.663, 0.450, 0.750], [0.337, 0.550, 0.250], [0.001, 0.334, 0.428], [0.334, 0.001, 0.428], [0.329, 0.671, 0.000], [0.671, 0.329, 0.500], [0.671, 0.329, 0.000], [0.329, 0.671, 0.500], [0.000, 0.000, 0.000], [0.000, 0.000, 0.500]]}

---

No. 11
{"formula": "MnAl2Br", "functional": "SCAN", "state": "single point on PBEsol structure", "space_group": "P4mm", "de_polymorph_mev_per_atom": 0, "e_form_raw_ev_per_atom": -0.001, "cell": [[-1.700, 2.379, -0.957], [-1.282, -1.783, -2.155], [-5.491, -1.958, 4.887]], "species": ["Mn", "Al", "Al", "Br"], "frac_coords": [[0.500, 0.500, 0.767], [0.000, 0.000, 0.972], [0.500, 0.500, 0.207], [0.000, 0.000, 0.554]]}

---

No. 12
{"formula": "Y4C4I3Br", "functional": "SCAN", "state": "single point on PBEsol structure", "space_group": "Cm", "e_form_raw_ev_per_atom": -1.073, "cell": [[3.816, 0.000, 0.000], [-1.908, 3.562, 0.008], [0.000, -1.400, 20.793]], "species": ["Y", "Y", "Y", "Y", "I", "I", "I", "C", "C", "C", "C", "Br"], "frac_coords": [[0.143, 0.287, 0.070], [0.139, 0.279, 0.562], [0.855, 0.710, 0.428], [0.860, 0.719, 0.936], [0.177, 0.354, 0.836], [0.826, 0.652, 0.170], [0.822, 0.644, 0.663], [0.424, 0.849, 0.019], [0.420, 0.841, 0.512], [0.574, 0.148, 0.479], [0.579, 0.157, 0.987], [0.180, 0.361, 0.340]]}

---

No. 13
{"formula": "SrLiLa", "functional": "SCAN", "state": "single point on PBEsol structure", "space_group": "P3m1", "formation_energy_ev_per_atom": 0.224, "de_polymorph_mev_per_atom": 0, "cell": [[-0.053, -3.505, -0.971], [3.411, 1.204, -4.532], [2.355, -1.447, 5.098]], "species": ["Sr", "Li", "La"], "frac_coords": [[0.419, 0.667, 0.333], [0.593, 0.333, 0.667], [0.989, 0.000, 0.000]]}

---

No. 14
{"formula": "KRuO4", "functional": "SCAN", "state": "single point on PBEsol structure", "space_group": "I4_1/a", "e_form_raw_ev_per_atom": -1.241, "cell": [[5.635, 0.000, 0.000], [0.000, 5.635, 0.000], [-2.818, -2.818, 6.288]], "species": ["K", "K", "Ru", "Ru", "O", "O", "O", "O", "O", "O", "O", "O"], "frac_coords": [[0.750, 0.250, 0.500], [0.500, 0.500, 0.000], [0.250, 0.750, 0.500], [0.000, 0.000, 0.000], [0.207, 0.604, 0.655], [0.854, 0.198, 0.155], [0.301, 0.957, 0.155], [0.448, 0.051, 0.655], [0.802, 0.699, 0.845], [0.949, 0.793, 0.345], [0.396, 0.552, 0.345], [0.043, 0.146, 0.845]]}

---

No. 15
{"formula": "TiCBrN2", "functional": "SCAN", "state": "single point on PBEsol structure", "space_group": "P4/mmm", "e_form_raw_ev_per_atom": 2.307, "cell": [[-2.875, 0.759, 2.439], [-2.353, -2.040, -2.140], [0.871, -3.092, 1.989]], "species": ["C", "N", "N", "Br", "Ti"], "frac_coords": [[0.500, 0.000, 0.000], [0.000, 0.000, 0.500], [0.000, 0.500, 0.000], [0.000, 0.000, 0.000], [0.500, 0.500, 0.500]]}

---

No. 16
{"formula": "SrCa3", "functional": "SCAN", "state": "single point on PBEsol structure", "space_group": "P6_3/mmc", "formation_energy_ev_per_atom": 0.017, "de_polymorph_mev_per_atom": 6, "cell": [[-2.512, 7.160, 2.029], [-4.783, -6.189, 0.717], [4.289, -1.916, 12.068]], "species": ["Ca", "Ca", "Ca", "Ca", "Ca", "Ca", "Ca", "Ca", "Ca", "Ca", "Ca", "Ca", "Sr", "Sr", "Sr", "Sr"], "frac_coords": [[0.500, 0.500, 0.000], [0.500, 0.500, 0.500], [0.000, 0.500, 0.000], [0.500, 0.000, 0.000], [0.500, 0.000, 0.500], [0.000, 0.500, 0.500], [0.169, 0.831, 0.750], [0.831, 0.169, 0.250], [0.663, 0.831, 0.750], [0.169, 0.337, 0.750], [0.831, 0.663, 0.250], [0.337, 0.169, 0.250], [0.000, 0.000, 0.000], [0.000, 0.000, 0.500], [0.667, 0.333, 0.750], [0.333, 0.667, 0.250]]}

---

No. 17
{"formula": "BeTe2O", "functional": "SCAN", "state": "single point on PBEsol structure", "space_group": "Fm-3m", "de_polymorph_mev_per_atom": 426, "e_form_raw_ev_per_atom": 0.394, "cell": [[-3.602, 2.420, -1.030], [-1.734, -0.218, -4.104], [-3.925, -2.013, -0.659]], "species": ["Be", "Te", "Te", "O"], "frac_coords": [[0.000, 0.000, 0.000], [0.250, 0.250, 0.250], [0.750, 0.750, 0.750], [0.500, 0.500, 0.500]]}

---

No. 18
{"formula": "MnZn2Pt", "functional": "SCAN", "state": "single point on PBEsol structure", "space_group": "I4/mmm", "formation_energy_ev_per_atom": -0.558, "cell": [[3.922, 0.000, 0.000], [0.000, 3.922, 0.000], [-1.961, -1.961, 3.538]], "species": ["Zn", "Zn", "Mn", "Pt"], "frac_coords": [[0.750, 0.250, 0.500], [0.250, 0.750, 0.500], [0.500, 0.500, 0.000], [0.000, 0.000, 0.000]]}

---

No. 19
{"formula": "LaSc2Hg", "functional": "SCAN", "state": "single point on PBEsol structure", "space_group": "P4mm", "formation_energy_ev_per_atom": -0.305, "cell": [[-3.123, -1.424, -0.181], [0.630, -0.970, -3.237], [3.226, -7.439, 2.857]], "species": ["Sc", "Sc", "Hg", "La"], "frac_coords": [[0.000, 0.000, 0.034], [0.500, 0.500, 0.270], [0.000, 0.000, 0.463], [0.500, 0.500, 0.733]]}

---

No. 20
{"formula": "Al5Ag7", "functional": "SCAN", "state": "single point on PBEsol structure", "space_group": "P1", "formation_energy_ev_per_atom": -0.089, "de_polymorph_mev_per_atom": 6, "cell": [[4.880, -0.001, -0.014], [0.751, 6.259, -0.004], [0.805, 0.641, 6.295]], "species": ["Al", "Al", "Al", "Al", "Al", "Ag", "Ag", "Ag", "Ag", "Ag", "Ag", "Ag"], "frac_coords": [[0.004, 0.668, 0.329], [0.495, 0.500, 0.511], [0.755, 0.420, 0.073], [0.493, 0.152, 0.840], [0.752, 0.087, 0.414], [0.003, 0.009, 0.011], [0.245, 0.918, 0.576], [0.512, 0.816, 0.175], [0.743, 0.760, 0.742], [0.248, 0.573, 0.914], [0.981, 0.336, 0.661], [0.268, 0.262, 0.253]]}